## KSrCa2 (PBE)

Data for KSrCa2 after structural relaxation.

Cell: 7.845 7.845 7.845 Å, 147.10 129.54 61.56°
Fractional coordinates of all 4 atoms:
Ca (0.999, 0.999, 0.000)
Ca (0.501, 0.501, 0.000)
K (0.750, 0.250, 0.500)
Sr (0.250, 0.750, 0.500)

calculated density = 1715 kg/m³
formation energy from the elements = 0.55 eV per formula unit
magnetization = 0.000 μB per cell
space group = Immm